1.
BeTl2Ni: relaxed, GGA-PBEsol.

Output
E_form (eV per formula unit): 2.1
SG: Pmmm
E_tot (eV per cell): -13.28
Total magnetization (μB per formula unit): 0.0

Cell: 3.163 4.188 5.208 Å, 90.00 90.00 90.00°
Fractional coordinates of all 4 atoms:
Ni 0.500 0.000 0.500
Tl 0.000 0.000 0.000
Tl 0.000 0.500 0.500
Be 0.500 0.500 0.000



2.
BeTl2Ni: relaxed, GGA-PBEsol.

Output
E_form (eV per formula unit): 2.3
SG: I-4m2
E_tot (eV per cell): -13.11
Total magnetization (μB per formula unit): 0.0

Cell: 3.876 3.876 5.312 Å, 111.40 111.40 90.00°
Fractional coordinates of all 4 atoms:
Ni 0.250 0.750 0.500
Tl 0.000 0.000 0.000
Tl 0.750 0.250 0.500
Be 0.500 0.500 0.000



3.
BeNiW3: relaxed, GGA-PBEsol.

Output
E_form (eV per formula unit): 4.9
SG: Pm-3m
E_tot (eV per cell): -46.69
Total magnetization (μB per formula unit): 0.0

Cell: 4.130 4.130 4.130 Å, 90.00 90.00 90.00°
Fractional coordinates of all 5 atoms:
Ni 0.500 0.500 0.500
W 0.000 0.500 0.000
W 0.000 0.000 0.500
W 0.500 0.000 0.000
Be 0.000 0.000 0.000



4.
BeNiW2: relaxed, GGA-PBEsol.

Output
E_form (eV per formula unit): 1.4
SG: F-43m
E_tot (eV per cell): -36.35
Total magnetization (μB per formula unit): 0.0

Cell: 4.209 4.209 4.209 Å, 60.00 60.00 60.00°
Fractional coordinates of all 4 atoms:
Ni 0.250 0.250 0.250
W 0.000 0.000 0.000
W 0.750 0.750 0.750
Be 0.500 0.500 0.500